A relaxed structure of NpHg2I8, computed with GGA-PBE.

Cell lengths 8.9487, 8.9487, 7.3821 Å; angles 91.71, 91.71, 72.81 degrees
Element x y z (fractional)
Np 0.0000 0.0000 0.0000
Hg 0.2280 0.2280 0.1880
Hg 0.7720 0.7720 0.8120
I 0.1104 0.7119 0.7570
I 0.1745 0.1745 0.7865
I 0.2881 0.8896 0.2430
I 0.4044 0.4044 0.3087
I 0.5956 0.5956 0.6913
I 0.7119 0.1104 0.7570
I 0.8255 0.8255 0.2135
I 0.8896 0.2881 0.2430

## Properties
As for the calculated total energy: -31.17 eV for the cell shown. The density of states at the Fermi level comes out at 8.84 states/eV per cell. The space group is C2/m. For the formation energy (no corrections), the calculation gives -45.9 kJ/mol of atoms.

---

A relaxed structure of Np3Hg2I8, computed with GGA-PBE.

Cell lengths 10.8632, 10.8632, 7.9938 Å; angles 90.00, 90.00, 49.21 degrees
Element x y z (fractional)
Np 0.0000 0.0000 0.0000
Np 0.2568 0.7432 0.5000
Np 0.7432 0.2568 0.5000
Hg 0.2557 0.2557 0.0014
Hg 0.7443 0.7443 0.9986
I 0.0915 0.0915 0.6695
I 0.1523 0.6708 0.8241
I 0.3292 0.8477 0.1759
I 0.4046 0.4046 0.3590
I 0.5954 0.5954 0.6410
I 0.6708 0.1523 0.8241
I 0.8477 0.3292 0.1759
I 0.9085 0.9085 0.3305

## Properties
As for the calculated total energy: -60.46 eV for the cell shown. The density of states at the Fermi level comes out at 17.03 states/eV per cell. The space group is C2/m. For the formation energy (no corrections), the calculation gives -64.1 kJ/mol of atoms.

---

A relaxed structure of Np2HgI6, computed with GGA-PBE.

Cell lengths 7.8851, 7.8851, 9.4860 Å; angles 90.00, 90.00, 120.00 degrees
Element x y z (fractional)
Np 0.3333 0.6667 0.0000
Np 0.6667 0.3333 0.0000
Hg 0.0000 0.0000 0.5000
I 0.0000 0.3603 0.8104
I 0.0000 0.6397 0.1896
I 0.3603 0.0000 0.8104
I 0.3603 0.3603 0.1896
I 0.6397 0.0000 0.1896
I 0.6397 0.6397 0.8104

## Properties
As for the calculated total energy: -42.35 eV for the cell shown. The density of states at the Fermi level comes out at 16.66 states/eV per cell. The space group is P-31m. For the formation energy (no corrections), the calculation gives -73.6 kJ/mol of atoms.

---

What is the formation energy (no corrections) in the third record?
-73.6 kJ/mol of atoms

---

formation energy (no corrections) of number 1 (NpHg2I8)?
-45.9 kJ/mol of atoms

---

What did the third record say?
A relaxed structure of Np2HgI6, computed with GGA-PBE.

Cell lengths 7.8851, 7.8851, 9.4860 Å; angles 90.00, 90.00, 120.00 degrees
Element x y z (fractional)
Np 0.3333 0.6667 0.0000
Np 0.6667 0.3333 0.0000
Hg 0.0000 0.0000 0.5000
I 0.0000 0.3603 0.8104
I 0.0000 0.6397 0.1896
I 0.3603 0.0000 0.8104
I 0.3603 0.3603 0.1896
I 0.6397 0.0000 0.1896
I 0.6397 0.6397 0.8104

## Properties
As for the calculated total energy: -42.35 eV for the cell shown. The density of states at the Fermi level comes out at 16.66 states/eV per cell. The space group is P-31m. For the formation energy (no corrections), the calculation gives -73.6 kJ/mol of atoms.

---

What did the third record say?
A relaxed structure of Np2HgI6, computed with GGA-PBE.

Cell lengths 7.8851, 7.8851, 9.4860 Å; angles 90.00, 90.00, 120.00 degrees
Element x y z (fractional)
Np 0.3333 0.6667 0.0000
Np 0.6667 0.3333 0.0000
Hg 0.0000 0.0000 0.5000
I 0.0000 0.3603 0.8104
I 0.0000 0.6397 0.1896
I 0.3603 0.0000 0.8104
I 0.3603 0.3603 0.1896
I 0.6397 0.0000 0.1896
I 0.6397 0.6397 0.8104

## Properties
As for the calculated total energy: -42.35 eV for the cell shown. The density of states at the Fermi level comes out at 16.66 states/eV per cell. The space group is P-31m. For the formation energy (no corrections), the calculation gives -73.6 kJ/mol of atoms.